Entry 1:
DFT (PBE) results for Rb2BPdF6 after structural relaxation.

```
10
Lattice="-0.977 -4.335 4.070 -0.278 -4.086 -4.420 3.678 -4.866 0.160" Properties=species:S:1:pos:R:3 pbc="T T T"
F 1.614 -4.552 -0.001
Pd 0.000 0.000 0.000
F 0.809 -8.736 -0.189
F -0.752 -4.255 1.336
Rb 1.037 -6.706 2.027
F -0.404 -2.712 -0.113
B -0.628 -4.211 -0.175
F -0.851 -5.710 -0.237
Rb 1.386 -6.582 -2.217
F -0.503 -4.166 -1.686
```

## Properties
calculated density: 4210 kg/m³
total DFT energy (no corrections): -4.6007 eV/atom
energy relative to the elements, uncorrected: -202 kJ/mol of atoms

Entry 2:
DFT (PBE) results for TmNi3B2 after structural relaxation.

```
18
Lattice="-3.050 1.233 0.267 -2.900 -7.586 1.899 2.596 5.109 6.059" Properties=species:S:1:pos:R:3 pbc="T T T"
Ni -0.830 -2.171 0.544
Tm -1.525 0.616 0.134
B -3.383 -4.562 2.822
Tm 0.764 0.878 4.672
Ni -1.677 -0.622 4.113
Tm -1.068 -3.354 3.286
B 0.029 3.319 5.404
Ni -2.975 -3.176 1.083
Ni 1.853 3.647 4.325
B -2.132 -1.291 2.003
B -2.263 -2.359 5.434
Ni -0.217 -1.767 5.681
B -1.221 0.048 6.223
Ni -0.087 -0.709 2.278
B -1.090 1.116 2.791
Ni 0.743 1.462 1.734
Ni -2.070 -5.415 1.356
Ni -0.227 3.171 3.163
```

## Properties
calculated density: 9187 kg/m³
total DFT energy (no corrections): -6.2902 eV/atom

Entry 3:
DFT (PBE) results for Sm3Al2GaPd9 after structural relaxation.

```
15
Lattice="5.731 0.000 0.000 -2.866 4.963 0.000 0.000 0.000 11.117" Properties=species:S:1:pos:R:3 pbc="T T T"
Sm 2.866 1.654 2.867
Ga 0.000 0.000 5.559
Pd -1.433 2.482 0.000
Pd 2.866 3.318 7.445
Pd 4.306 0.823 7.445
Sm 0.000 0.000 0.000
Pd 1.425 0.823 7.445
Pd 2.866 0.000 0.000
Sm 0.000 3.309 8.250
Pd 1.440 4.141 3.672
Pd -1.440 4.141 3.672
Al 2.866 1.654 9.250
Pd 0.000 1.645 3.672
Al 0.000 3.309 1.867
Pd 1.433 2.482 0.000
```

## Properties
calculated density: 8048 kg/m³
total DFT energy (no corrections): -5.4026 eV/atom

Entry 4:
DFT (PBE) results for Fe4AgPt after structural relaxation.

```
6
Lattice="3.830 -2.508 1.583 0.214 -4.790 -0.694 3.163 -1.849 -3.169" Properties=species:S:1:pos:R:3 pbc="T T T"
Fe 4.620 -4.684 -0.061
Fe 4.286 -4.354 -2.443
Fe 2.701 -3.427 -0.854
Fe 2.808 -5.828 -1.202
Pt 5.406 -6.860 -1.710
Ag 0.000 0.000 0.000
```

## Properties
calculated density: 10872 kg/m³
total DFT energy (no corrections): -7.0267 eV/atom

Repeat the fourth record exactly.
DFT (PBE) results for Fe4AgPt after structural relaxation.

```
6
Lattice="3.830 -2.508 1.583 0.214 -4.790 -0.694 3.163 -1.849 -3.169" Properties=species:S:1:pos:R:3 pbc="T T T"
Fe 4.620 -4.684 -0.061
Fe 4.286 -4.354 -2.443
Fe 2.701 -3.427 -0.854
Fe 2.808 -5.828 -1.202
Pt 5.406 -6.860 -1.710
Ag 0.000 0.000 0.000
```

## Properties
calculated density: 10872 kg/m³
total DFT energy (no corrections): -7.0267 eV/atom

> Among the records above, which one has the highest total DFT energy (no corrections)?

Rb2BPdF6

> Number 4 is which compound?

Fe4AgPt